Record 1
Entry from the Alexandria database: a relaxed structure of FeSnN3 (GGA-PBEsol).

a b c (Å): 4.072 4.072 4.072
angles (deg): 90.00 90.00 90.00
Fractional positions:
Fe 0.500 0.500 0.500
N 0.500 0.000 0.000
N 0.000 0.500 0.000
N 0.000 0.000 0.500
Sn 0.000 0.000 0.000

Summary:
magnetic moment = 1.1650 μB/atom
symmetry = No. 221

Record 2
Entry from the Alexandria database: a relaxed structure of TaTeBr (GGA-PBEsol).

a b c (Å): 3.284 3.284 6.992
angles (deg): 103.58 103.58 90.00
Fractional positions:
Ta 0.667 0.667 0.334
Br 0.042 0.042 0.084
Te 0.291 0.291 0.582

Summary:
magnetic moment = 0.0000 μB/atom
energy above the lowest structure with this stoichiometry = 0 meV/atom
symmetry = No. 107

Number 1: raw formation energy 1.89 eV per atom, uncorrected energy -5.866 eV per atom. Number 2: raw formation energy -0.26 eV per atom, uncorrected energy -6.242 eV per atom.